1.
The following is a DFT calculation (PBE) of a geometry-optimized Rb4CoS4 structure.

```
Rb4CoS4
1.0
-1.1688 -2.5107 7.1914
7.0463 -3.1196 0.0561
-0.4688 8.4365 -1.2597
Rb Co S
4 1 4
Cartesian
-0.5844 -1.2554 3.5957
1.4568 3.3156 1.3944
3.5232 -1.5598 0.0281
3.9519 -0.5094 4.5934
0.0000 0.0000 0.0000
0.6920 -1.4997 6.4677
3.9382 2.6339 4.3095
0.0238 6.3836 -0.5173
6.1632 -1.9052 1.7156
```

Values from the calculation:
* raw formation energy: -0.70 eV/atom



2.
The following is a DFT calculation (PBE) of a geometry-optimized Rb2CoSnS4 structure.

```
Rb2CoSnS4
1.0
-2.2768 -1.6175 5.4067
-2.1892 -7.2775 0.3255
9.6333 -3.8875 6.3184
Rb S Co Sn
4 8 2 2
Cartesian
5.9021 -7.9068 8.6817
5.7456 -2.7763 5.0136
1.6109 -2.7287 6.7114
-1.8733 -5.6845 6.0722
7.6832 -5.1885 6.8843
4.7925 -10.8169 10.7044
2.3892 -8.7612 8.7232
-1.4201 -6.8154 2.5641
-0.7210 -2.7441 3.9484
1.2453 -7.2577 5.1384
2.7355 -4.0515 3.4286
3.9645 -5.4945 6.8110
-1.1384 -0.8088 2.7033
3.1528 -5.9869 4.6736
0.0000 0.0000 0.0000
2.0144 -6.7956 7.3770
```

Values from the calculation:
* raw formation energy: -0.68 eV/atom



3.
The following is a DFT calculation (PBE) of a geometry-optimized RbCoTc2S structure.

```
RbCoTc2S
1.0
4.5892 0.0000 0.0000
0.0000 5.1442 0.0000
0.0000 0.0000 4.5892
Tc Co Rb S
2 1 1 1
Cartesian
0.0000 0.0000 2.2946
2.2946 0.0000 0.0000
0.0000 0.0000 0.0000
2.2946 2.5721 2.2946
0.0000 2.5721 0.0000
```

Values from the calculation:
* raw formation energy: 1.29 eV/atom



4.
The following is a DFT calculation (PBE) of a geometry-optimized Rb4Th3CoS8 structure.

```
Rb4Th3CoS8
1.0
-2.0317 3.1417 7.2901
-4.8753 -7.4226 1.8401
7.9068 -1.1167 -1.9203
S Rb Th Co
8 4 3 1
Cartesian
2.7537 -3.8863 4.7935
3.7910 -5.4903 1.0715
-1.7539 -1.5113 2.4164
1.2210 -0.4632 5.1450
2.2172 -1.9583 1.4619
-1.2175 -3.4393 5.7480
-2.7913 0.0928 6.1384
-0.2213 -4.9344 2.0649
3.9534 -0.5583 -0.9601
2.9375 1.0125 2.6849
0.0000 0.0000 0.0000
-1.0159 1.5709 3.6450
1.5157 -4.2696 -0.0401
-3.4535 -2.1404 4.5651
0.4999 -2.6988 3.6049
-2.4377 -3.7113 0.9201
```

Values from the calculation:
* raw formation energy: -1.42 eV/atom



5.
The following is a DFT calculation (PBE) of a geometry-optimized Rb3Th3CoS8 structure.

```
Rb3Th3CoS8
1.0
8.1746 0.0000 0.0000
-4.0873 7.0708 -0.0244
0.0000 -4.6809 7.8523
Rb S Th Co
3 8 3 1
Cartesian
2.0437 3.5354 -0.0122
0.0000 0.0000 0.0000
-2.0436 3.5354 -0.0122
2.0034 -1.1915 2.4909
0.0000 -0.0394 5.3400
6.1712 -1.1915 2.4909
2.0839 3.5814 5.3369
0.0000 2.3667 2.3193
4.0873 0.0232 5.5085
4.0873 2.4293 2.4878
-2.0839 3.5813 5.3369
-2.0437 1.1949 3.9139
2.0437 1.1949 3.9139
4.0873 -2.3405 3.9261
0.0000 -2.3405 3.9261
```

Values from the calculation:
* raw formation energy: -1.47 eV/atom



6.
The following is a DFT calculation (PBE) of a geometry-optimized Rb2UCoS6 structure.

```
Rb2UCoS6
1.0
-1.1263 -6.6424 1.1999
4.6474 -1.6479 -4.7453
5.2235 -4.1357 1.5988
Rb Co S U
2 1 6 1
Cartesian
2.9285 -7.4621 0.5132
5.8162 -4.9640 -2.4598
1.7606 -4.1452 -1.7727
0.3916 -5.3295 -0.3629
8.3531 -7.0966 -1.5837
3.4004 -4.1392 -0.1749
7.8189 -10.2469 -1.0150
5.3443 -8.2869 -1.7717
0.9258 -2.1792 -0.9315
0.0000 0.0000 0.0000
```

Values from the calculation:
* raw formation energy: -0.81 eV/atom



7.
The following is a DFT calculation (PBE) of a geometry-optimized Rb4U3CoS8 structure.

```
Rb4U3CoS8
1.0
7.9545 0.0000 0.0000
0.0000 8.9592 0.6959
-3.9772 -3.9685 5.6309
S U Rb Co
8 3 4 1
Cartesian
0.0000 0.5911 3.2261
1.9516 2.6514 0.4382
6.0028 2.6514 0.4382
-2.0256 2.3393 5.8886
2.0256 2.3393 5.8886
3.9772 0.6304 3.3051
3.9772 4.3996 3.1008
0.0000 4.3603 3.0218
-1.9886 2.4954 3.1634
3.9772 4.4796 0.3480
1.9886 2.4954 3.1634
1.9886 -1.9842 2.8155
0.0000 0.0000 0.0000
3.9772 0.0000 0.0000
-1.9886 -1.9842 2.8155
0.0000 4.4796 0.3480
```

Values from the calculation:
* raw formation energy: -1.16 eV/atom



8.
The following is a DFT calculation (PBE) of a geometry-optimized RbU2CoS4 structure.

```
RbU2CoS4
1.0
3.8561 0.0000 0.0000
-1.9280 6.9539 0.0000
0.0000 0.0000 13.3850
S Co U Rb
8 2 4 2
Cartesian
0.0000 0.0000 0.0000
0.0000 3.6392 5.1854
1.9280 3.3147 11.8779
0.0000 5.7591 10.0388
0.0000 3.6392 1.5071
1.9280 1.1948 3.3463
1.9280 3.3147 8.1996
0.0000 0.0000 6.6925
0.0000 2.3821 3.3463
1.9280 4.5719 10.0388
1.9280 1.8831 5.8984
0.0000 5.0708 7.4866
0.0000 5.0708 12.5909
1.9280 1.8831 0.7941
0.0000 1.3670 10.0388
1.9280 5.5870 3.3463
```

Values from the calculation:
* raw formation energy: -1.23 eV/atom



9.
The following is a DFT calculation (PBE) of a geometry-optimized Rb2UCo2S6 structure.

```
Rb2UCo2S6
1.0
-2.9386 6.5683 -0.6351
-0.5293 -4.7339 -5.4290
-4.0761 -1.2170 6.2691
S Co Rb U
6 2 2 1
Cartesian
-2.1083 -1.0657 -1.2659
-5.7133 -0.6983 -1.2489
-5.4357 1.6830 1.4709
-1.8306 1.3156 1.4538
-3.2943 4.5868 1.1374
-4.2496 -3.9694 -0.9324
-0.9885 -0.3984 0.4520
-6.5555 1.0157 -0.2471
-3.2961 2.3328 -1.7051
-4.2479 -1.7154 1.9101
-3.5073 2.6756 2.8170
```

Values from the calculation:
* raw formation energy: -0.80 eV/atom



10.
The following is a DFT calculation (PBE) of a geometry-optimized Rb2UCoS4 structure.

```
Rb2UCoS4
1.0
7.0081 -0.1293 -0.1981
-3.1031 6.2850 0.1981
-3.1031 -2.3480 5.8333
S Rb U Co
4 2 1 1
Cartesian
4.2829 2.8273 0.7998
1.7132 1.2246 2.7251
-2.3702 3.5087 4.5261
-2.0220 0.0549 3.6155
0.0000 0.0000 0.0000
0.4010 4.0621 1.5078
0.4010 -0.2544 4.3255
-3.1031 1.9685 3.0157
```

Values from the calculation:
* raw formation energy: -0.86 eV/atom



11.
The following is a DFT calculation (PBE) of a geometry-optimized Rb2U2CoS6 structure.

```
Rb2U2CoS6
1.0
-6.2029 -0.6789 2.2493
4.4175 -4.8515 0.9720
2.7159 5.1355 5.8059
Rb S Co U
2 6 1 2
Cartesian
-4.4414 -1.3710 2.0374
2.6560 -4.1594 1.1838
1.2009 -3.3452 4.1401
0.5218 -0.6123 6.3387
-0.2704 2.9503 4.8871
3.1814 1.5942 4.4719
-2.2509 -1.9890 4.5552
0.4087 0.2174 2.6884
1.3580 2.5678 2.9029
2.2240 -0.8884 4.3021
-1.2935 0.4936 4.7251
```

Values from the calculation:
* raw formation energy: -1.12 eV/atom



12.
The following is a DFT calculation (PBE) of a geometry-optimized Rb2UCoS5 structure.

```
Rb2UCoS5
1.0
-0.6223 -2.9771 2.5567
9.5133 2.3337 1.9458
-4.2032 9.1265 9.6041
S U Rb Co
10 2 4 2
Cartesian
7.6393 3.6425 6.1010
5.6105 3.6501 8.7035
-3.4488 5.9204 9.1419
2.9861 6.4225 8.2055
-0.4298 7.0311 11.1700
-2.8816 9.0864 9.8791
0.7564 3.5197 7.3700
3.8839 4.1310 5.7557
2.5732 0.1684 3.9098
5.8970 0.6955 2.2453
3.5710 0.5366 1.4941
3.0340 3.7836 8.2317
5.7149 0.9278 5.5589
-0.5717 6.5666 7.5073
3.1481 6.7833 11.7524
0.8153 3.2727 4.0093
5.8376 4.5180 6.6820
-2.5671 7.0424 10.6630
```

Values from the calculation:
* raw formation energy: -0.99 eV/atom



13.
The following is a DFT calculation (PBE) of a geometry-optimized RbUCoS4 structure.

```
RbUCoS4
1.0
6.4907 0.0000 0.0068
0.0000 5.7028 0.0000
-2.5220 0.0000 8.7999
U S Co Rb
2 8 2 2
Cartesian
3.6640 4.2771 3.9664
0.3047 1.4257 4.8403
-1.6502 5.6429 6.1108
1.5675 1.4257 7.0872
5.6189 0.0599 2.6959
2.6707 1.4257 3.6596
5.6189 2.7915 2.6959
1.2980 4.2771 5.1471
2.4012 4.2771 1.7194
-1.6502 2.9113 6.1108
0.6544 4.2771 3.0778
3.3143 1.4257 5.7288
2.4670 4.2771 8.3802
1.5017 1.4257 0.4264
```

Values from the calculation:
* raw formation energy: -1.01 eV/atom



14.
The following is a DFT calculation (PBE) of a geometry-optimized RbV2CoS8 structure.

```
RbV2CoS8
1.0
-1.7077 -0.4774 -5.7662
2.4714 -4.2145 -3.5387
-6.2559 -7.4070 -0.6897
Rb S V Co
1 8 2 1
Cartesian
-2.7461 -6.0495 -4.9973
1.0059 -5.1867 -4.9645
-2.8824 -7.9643 -7.9541
-4.1387 -9.6302 -5.2458
-2.6098 -4.1347 -2.0405
-6.4981 -6.9122 -5.0300
-4.5725 -7.8622 -2.1335
-0.9198 -4.2367 -7.8611
-1.3535 -2.4687 -4.7488
-4.4000 -9.3262 -7.3919
-1.0923 -2.7727 -2.6027
0.0000 0.0000 0.0000
```

Values from the calculation:
* raw formation energy: -0.43 eV/atom



15.
The following is a DFT calculation (PBE) of a geometry-optimized RbZrCoS4 structure.

```
RbZrCoS4
1.0
6.1498 0.0000 -0.1944
0.0000 5.9906 0.0000
-2.6540 0.0000 8.8328
Co S Zr Rb
2 8 2 2
Cartesian
0.5816 4.4930 2.9762
2.9143 1.4977 5.6622
2.2156 4.4930 1.5492
-1.7199 3.0267 6.0520
5.2158 2.9639 2.5864
5.2158 0.0314 2.5864
1.1489 4.4930 5.0699
1.2803 1.4977 7.0892
2.3469 1.4977 3.5685
-1.7199 5.9592 6.0520
3.4194 4.4930 3.8222
0.0764 1.4977 4.8163
2.1243 4.4930 8.2377
1.3715 1.4977 0.4007
```

Values from the calculation:
* raw formation energy: -0.94 eV/atom



16.
The following is a DFT calculation (PBE) of a geometry-optimized Rb3Zr3CoS8 structure.

```
Rb3Zr3CoS8
1.0
7.4799 0.0021 0.0005
-3.7381 6.4834 -0.0272
-0.0006 -4.2920 7.8419
S Zr Rb Co
8 3 3 1
Cartesian
3.7409 0.0212 5.4033
0.0004 0.0063 5.3190
1.8845 3.2713 5.3040
0.0003 2.1723 2.4119
1.8567 -1.0778 2.5112
-1.8825 3.2705 5.3022
5.6237 -1.0770 2.5130
3.7408 2.1871 2.4962
-1.8694 1.0957 3.9074
3.7396 -2.1449 3.9212
1.8706 1.0967 3.9076
0.0000 0.0000 0.0000
-1.8691 3.2417 -0.0136
1.8709 3.2428 -0.0134
-0.0003 -2.1460 3.9210
```

Values from the calculation:
* raw formation energy: -1.27 eV/atom



17.
The following is a DFT calculation (PBE) of a geometry-optimized RbCoSb3 structure.

```
RbCoSb3
1.0
-0.3845 -4.9559 -1.4808
-0.8178 -1.4079 4.9244
-5.1073 0.5986 -0.6770
Sb Rb Co
3 1 1
Cartesian
-0.4089 -0.7040 2.4622
-0.1923 -2.4779 -0.7404
-2.5537 0.2993 -0.3385
-3.1548 -2.8826 1.3833
0.0000 0.0000 0.0000
```

Values from the calculation:
* raw formation energy: 0.16 eV/atom
* energy relative to the lowest polymorph listed for this composition: 0.0 kJ/mol of atoms



18.
The following is a DFT calculation (PBE) of a geometry-optimized RbCoSb3 structure.

```
RbCoSb3
1.0
-2.7383 5.2498 0.6546
-0.8244 0.3047 -5.8919
-5.2259 -2.7989 0.5865
Sb Rb Co
3 1 1
Cartesian
-2.6129 -1.3994 0.2932
-1.3691 2.6249 0.3273
-0.4122 0.1523 -2.9460
0.0000 0.0000 0.0000
-4.3943 1.3778 -2.3254
```

Values from the calculation:
* raw formation energy: 2.09 eV/atom
* energy relative to the lowest polymorph listed for this composition: 186.0 kJ/mol of atoms



19.
The following is a DFT calculation (PBE) of a geometry-optimized RbCo3Sb structure.

```
RbCo3Sb
1.0
-0.6864 -2.6443 -3.8062
3.5128 -2.8067 1.3165
-3.0232 -2.6609 2.3938
Co Rb Sb
3 1 1
Cartesian
1.7564 -1.4034 0.6583
-0.3432 -1.3222 -1.9031
-1.5116 -1.3305 1.1969
0.0000 0.0000 0.0000
-0.0984 -4.0560 -0.0479
```

Values from the calculation:
* raw formation energy: 2.30 eV/atom
* energy relative to the lowest polymorph listed for this composition: 126.0 kJ/mol of atoms



20.
The following is a DFT calculation (PBE) of a geometry-optimized RbCo3Sb structure.

```
RbCo3Sb
1.0
4.9477 0.0000 0.0000
0.0000 4.9477 0.0000
0.0000 0.0000 4.9477
Co Rb Sb
3 1 1
Cartesian
0.0000 2.4738 0.0000
0.0000 0.0000 2.4738
2.4738 0.0000 0.0000
2.4738 2.4738 2.4738
0.0000 0.0000 0.0000
```

Values from the calculation:
* raw formation energy: 1.00 eV/atom
* energy relative to the lowest polymorph listed for this composition: 0.0 kJ/mol of atoms



Computed values of total magnetization (unit: μB/f.u.) for the preceding records, in sequence: 5.05, 3.00, 4.88, 2.41, 1.97, 0.00, 8.85, 3.85, 5.59, 1.00, 5.13, 0.24, 0.80, 1.59, 2.02, 2.40, 0.00, 3.06, 4.14, 5.00.
Computed values of E_tot (unit: Ry per atom) for the preceding records, in sequence: -0.27601, -0.32166, -0.38941, -0.40868, -0.42808, -0.39073, -0.44318, -0.52337, -0.40760, -0.40145, -0.45877, -0.40756, -0.45098, -0.39472, -0.41672, -0.43013, -0.28837, -0.14667, -0.21905, -0.31502.